No. 1
Computed, not measured: crystalline ReRuNF2 at its relaxed geometry at the PBE level of DFT.

a b c (Å): 4.317 4.317 3.771
angles (deg): 90.00 90.00 90.00
Sites, in units of the cell vectors:
Re (0.000, 0.000, 0.000)
Ru (0.500, 0.500, 0.500)
N (0.500, 0.500, 0.000)
F (0.000, 0.500, 0.500)
F (0.500, 0.000, 0.500)

## Properties
- ΔE_f (raw) (kJ per mole of atoms) = 64.8
- energy above the most stable polymorph in this dataset (eV per atom) = 0.3706
- E_tot (eV per atom) = -6.087

***

No. 2
Computed, not measured: crystalline ReS2NF at its relaxed geometry at the PBE level of DFT.

a b c (Å): 4.303 4.303 3.544
angles (deg): 90.00 90.00 90.00
Sites, in units of the cell vectors:
Re (0.000, 0.000, 0.000)
S (0.000, 0.500, 0.500)
S (0.500, 0.000, 0.500)
N (0.500, 0.500, 0.000)
F (0.500, 0.500, 0.500)

## Properties
- ΔE_f (raw) (kJ per mole of atoms) = 186.8
- energy above the most stable polymorph in this dataset (eV per atom) = 1.6793
- E_tot (eV per atom) = -4.244

***

No. 3
Computed, not measured: crystalline ReS2NF at its relaxed geometry at the PBE level of DFT.

a b c (Å): 4.620 4.620 3.791
angles (deg): 90.00 90.00 90.00
Sites, in units of the cell vectors:
Re (0.000, 0.000, 0.000)
S (0.000, 0.500, 0.000)
S (0.500, 0.000, 0.000)
N (0.000, 0.000, 0.500)
F (0.500, 0.500, 0.500)

## Properties
- ΔE_f (raw) (kJ per mole of atoms) = 24.8
- energy above the most stable polymorph in this dataset (eV per atom) = 0.0000
- E_tot (eV per atom) = -5.923

***

- Among the records above, which one has the highest energy above the most stable polymorph in this dataset?
  number 2

***

Please write out number 3 again, unchanged.
Computed, not measured: crystalline ReS2NF at its relaxed geometry at the PBE level of DFT.

a b c (Å): 4.620 4.620 3.791
angles (deg): 90.00 90.00 90.00
Sites, in units of the cell vectors:
Re (0.000, 0.000, 0.000)
S (0.000, 0.500, 0.000)
S (0.500, 0.000, 0.000)
N (0.000, 0.000, 0.500)
F (0.500, 0.500, 0.500)

## Properties
- ΔE_f (raw) (kJ per mole of atoms) = 24.8
- energy above the most stable polymorph in this dataset (eV per atom) = 0.0000
- E_tot (eV per atom) = -5.923